DFT (SCAN) results for Ga2BiCl at its PBEsol-relaxed geometry. Values from VASP.

Properties
Calculated volume, Å³/f.u.: 89.1
Energy relative to the elements, uncorrected, eV per atom: -0.10
Mass density, Mg/m³: 7.15
Spin magnetization, μB/f.u.: 0.0

Structure (Quantum ESPRESSO input):
```
&SYSTEM
  ibrav = 0, nat = 4, ntyp = 3
/
ATOMIC_SPECIES
Bi 208.98 Bi.upf
Ga 69.72 Ga.upf
Cl 35.45 Cl.upf
ATOMIC_POSITIONS crystal
Bi 0.500 0.500 0.500
Ga 0.250 0.250 0.250
Ga 0.750 0.750 0.750
Cl 0.000 0.000 0.000
CELL_PARAMETERS angstrom
-1.073 4.449 -2.047
0.599 0.702 -4.928
-4.011 0.492 -2.968
```

***

DFT (SCAN) results for Ga3Bi5Cl12 at its PBEsol-relaxed geometry. Values from VASP.

Properties
Calculated volume, Å³/f.u.: 593.0
Energy relative to the elements, uncorrected, eV per atom: -0.93
Mass density, Mg/m³: 4.70
Spin magnetization, μB/f.u.: 0.0

Structure (Quantum ESPRESSO input):
```
&SYSTEM
  ibrav = 0, nat = 40, ntyp = 3
/
ATOMIC_SPECIES
Ga 69.72 Ga.upf
Bi 208.98 Bi.upf
Cl 35.45 Cl.upf
ATOMIC_POSITIONS crystal
Ga 0.723 0.777 0.250
Ga 0.777 0.250 0.250
Ga 0.250 0.723 0.250
Ga 0.277 0.223 0.750
Ga 0.223 0.750 0.750
Ga 0.750 0.277 0.750
Bi 0.329 0.329 0.014
Bi 0.171 0.171 0.486
Bi 0.671 0.671 0.986
Bi 0.829 0.829 0.514
Bi 0.088 0.412 0.250
Bi 0.412 0.250 0.250
Bi 0.250 0.088 0.250
Bi 0.912 0.588 0.750
Bi 0.588 0.750 0.750
Bi 0.750 0.912 0.750
Cl 0.690 0.968 0.273
Cl 0.968 0.069 0.273
Cl 0.069 0.690 0.273
Cl 0.532 0.810 0.227
Cl 0.810 0.431 0.227
Cl 0.431 0.532 0.227
Cl 0.310 0.032 0.727
Cl 0.032 0.931 0.727
Cl 0.931 0.310 0.727
Cl 0.468 0.190 0.773
Cl 0.190 0.569 0.773
Cl 0.569 0.468 0.773
Cl 0.890 0.732 0.072
Cl 0.732 0.306 0.072
Cl 0.306 0.890 0.072
Cl 0.768 0.610 0.428
Cl 0.806 0.232 0.572
Cl 0.390 0.806 0.572
Cl 0.232 0.390 0.572
Cl 0.694 0.110 0.928
Cl 0.268 0.694 0.928
Cl 0.110 0.268 0.928
Cl 0.194 0.768 0.428
Cl 0.610 0.194 0.428
CELL_PARAMETERS angstrom
11.691 0.000 0.000
5.845 10.125 0.000
5.845 3.375 10.021
```

***

DFT (SCAN) results for GaBiOsCl2 at its PBEsol-relaxed geometry. Values from VASP.

Properties
Calculated volume, Å³/f.u.: 158.5
Energy relative to the elements, uncorrected, eV per atom: 1.22
Mass density, Mg/m³: 5.66
Spin magnetization, μB/f.u.: 3.4

Structure (Quantum ESPRESSO input):
```
&SYSTEM
  ibrav = 0, nat = 5, ntyp = 4
/
ATOMIC_SPECIES
Os 190.23 Os.upf
Bi 208.98 Bi.upf
Ga 69.72 Ga.upf
Cl 35.45 Cl.upf
ATOMIC_POSITIONS crystal
Os 0.500 0.500 0.500
Bi 0.000 0.000 0.000
Ga 0.000 0.000 0.500
Cl 0.000 0.500 0.000
Cl 0.500 0.000 0.000
CELL_PARAMETERS angstrom
5.201 0.000 0.000
0.000 5.201 0.000
0.000 0.000 5.859
```

***

DFT (SCAN) results for Sc2GaBiCl at its PBEsol-relaxed geometry. Values from VASP.

Properties
Calculated volume, Å³/f.u.: 140.3
Energy relative to the elements, uncorrected, eV per atom: -0.02
Mass density, Mg/m³: 4.78
Spin magnetization, μB/f.u.: 1.2

Structure (Quantum ESPRESSO input):
```
&SYSTEM
  ibrav = 0, nat = 5, ntyp = 4
/
ATOMIC_SPECIES
Sc 44.96 Sc.upf
Bi 208.98 Bi.upf
Ga 69.72 Ga.upf
Cl 35.45 Cl.upf
ATOMIC_POSITIONS crystal
Sc 0.000 0.000 0.500
Sc 0.000 0.500 0.000
Bi 0.500 0.000 0.000
Ga 0.000 0.000 0.000
Cl 0.500 0.500 0.500
CELL_PARAMETERS angstrom
5.134 0.000 0.000
0.000 5.227 0.000
0.000 0.000 5.227
```